(1)
A plane-wave DFT calculation with PBE-GGA was carried out for a geometry-optimized ScIn3Pt2 structure.

It has space group Pmc2_1 (No. 26), with a = 3.9626 Å, b = 8.6550 Å, c = 7.1695 Å, α = 90.00°, β = 90.00° and γ = 90.00°. The asymmetric unit holds Sc at (0.0000, 0.0753, 0.0000), In at (0.0000, 0.3139, 0.6066), In at (0.5000, 0.1847, 0.3224), In at (0.5000, 0.4024, 0.9337), Pt at (0.0000, 0.3860, 0.2197) and Pt at (0.5000, 0.1119, 0.7169).

The total energy is -30.43 eV per formula unit. The volume comes out at 123 Å³/f.u. The size of the total moment comes out at 0.000 μB per formula unit.


(2)
A plane-wave DFT calculation with PBE-GGA was carried out for a geometry-optimized ScIn2Pt structure.

It has space group P4mm (No. 99), with a = 3.4863 Å, b = 3.4863 Å, c = 6.9935 Å, α = 90.00°, β = 90.00° and γ = 90.00°. The asymmetric unit holds Sc at (0.0000, 0.0000, 0.0000), In at (0.0000, 0.0000, 0.5659), In at (0.5000, 0.5000, 0.2717) and Pt at (0.5000, 0.5000, 0.8113).

The total energy is -20.01 eV per formula unit. The volume comes out at 85 Å³/f.u. The size of the total moment comes out at 0.000 μB per formula unit.


(3)
A plane-wave DFT calculation with PBE-GGA was carried out for a geometry-optimized ScIn2PtSe structure.

It has space group P4/mmm (No. 123), with a = 5.7192 Å, b = 5.7192 Å, c = 4.7354 Å, α = 90.00°, β = 90.00° and γ = 90.00°. The asymmetric unit holds Sc at (0.0000, 0.0000, 0.0000), In at (0.0000, 0.5000, 0.0000), Pt at (0.0000, 0.0000, 0.5000) and Se at (0.5000, 0.5000, 0.5000).

The total energy is -19.12 eV per formula unit. The volume comes out at 155 Å³/f.u. The size of the total moment comes out at 0.000 μB per formula unit.


(4)
A plane-wave DFT calculation with PBE-GGA was carried out for a geometry-optimized TbScInPt structure.

It has space group F-43m (No. 216), with a = 7.0777 Å, b = 7.0777 Å, c = 7.0777 Å, α = 90.00°, β = 90.00° and γ = 90.00°. The asymmetric unit holds Tb at (0.0000, 0.0000, 0.0000), Sc at (0.0000, 0.0000, 0.5000), In at (0.2500, 0.2500, 0.2500) and Pt at (0.2500, 0.2500, 0.7500).

The total energy is -22.65 eV per formula unit. The volume comes out at 89 Å³/f.u. The size of the total moment comes out at 0.000 μB per formula unit.


(5)
A plane-wave DFT calculation with PBE-GGA was carried out for a geometry-optimized Sc5In2TcPt2 structure.

It has space group P4/mbm (No. 127), with a = 11.2113 Å, b = 11.2113 Å, c = 3.3070 Å, α = 90.00°, β = 90.00° and γ = 90.00°. The asymmetric unit holds Sc at (0.0000, 0.5000, 0.0000), Sc at (0.0617, 0.1886, 0.0000), In at (0.1748, 0.6748, 0.5000), Tc at (0.0000, 0.0000, 0.5000) and Pt at (0.1337, 0.3663, 0.5000).

The total energy is -66.22 eV per formula unit. The volume comes out at 208 Å³/f.u. The size of the total moment comes out at 0.000 μB per formula unit.


(6)
A plane-wave DFT calculation with PBE-GGA was carried out for a geometry-optimized Sc5TlIn2Pt2 structure.

It has space group P4/mbm (No. 127), with a = 11.4368 Å, b = 11.4368 Å, c = 3.4415 Å, α = 90.00°, β = 90.00° and γ = 90.00°. The asymmetric unit holds Sc at (0.0000, 0.5000, 0.0000), Sc at (0.0744, 0.2033, 0.0000), Tl at (0.0000, 0.0000, 0.5000), In at (0.1707, 0.6707, 0.5000) and Pt at (0.1291, 0.3709, 0.5000).

The total energy is -58.30 eV per formula unit. The volume comes out at 225 Å³/f.u. The size of the total moment comes out at 0.000 μB per formula unit.


(7)
A plane-wave DFT calculation with PBE-GGA was carried out for a geometry-optimized TmScInPt structure.

It has space group F-43m (No. 216), with a = 7.0086 Å, b = 7.0086 Å, c = 7.0086 Å, α = 90.00°, β = 90.00° and γ = 90.00°. The asymmetric unit holds Tm at (0.0000, 0.0000, 0.0000), Sc at (0.0000, 0.0000, 0.5000), In at (0.2500, 0.2500, 0.2500) and Pt at (0.2500, 0.2500, 0.7500).

The total energy is -22.61 eV per formula unit. The volume comes out at 86 Å³/f.u. The size of the total moment comes out at 0.000 μB per formula unit.


(8)
A plane-wave DFT calculation with PBE-GGA was carried out for a geometry-optimized InPtSe2 structure.

It has space group Pmmm (No. 47), with a = 3.3427 Å, b = 4.5993 Å, c = 5.2153 Å, α = 90.00°, β = 90.00° and γ = 90.00°. The asymmetric unit holds In at (0.0000, 0.0000, 0.0000), Pt at (0.5000, 0.0000, 0.5000), Se at (0.0000, 0.5000, 0.5000) and Se at (0.5000, 0.5000, 0.0000).

The total energy is -14.88 eV per formula unit. The volume comes out at 80 Å³/f.u. The size of the total moment comes out at 0.000 μB per formula unit.


(9)
A plane-wave DFT calculation with PBE-GGA was carried out for a geometry-optimized InPtSe2 structure.

It has space group R-3m (No. 166, hexagonal axes), with a = 3.9938 Å, b = 3.9938 Å, c = 23.3122 Å, α = 90.00°, β = 90.00° and γ = 120.00°. The asymmetric unit holds In at (0.0000, 0.0000, 0.0000), Pt at (0.0000, 0.0000, 0.5000) and Se at (0.0000, 0.0000, 0.3990).

The total energy is -15.75 eV per formula unit. The volume comes out at 107 Å³/f.u. The size of the total moment comes out at 0.000 μB per formula unit.


(10)
A plane-wave DFT calculation with PBE-GGA was carried out for a geometry-optimized InPtSe2 structure.

It has space group P4mm (No. 99), with a = 3.6193 Å, b = 3.6193 Å, c = 7.2947 Å, α = 90.00°, β = 90.00° and γ = 90.00°. The asymmetric unit holds In at (0.0000, 0.0000, 0.0000), Pt at (0.5000, 0.5000, 0.3082), Se at (0.0000, 0.0000, 0.3852) and Se at (0.5000, 0.5000, 0.8502).

The total energy is -16.00 eV per formula unit. The volume comes out at 96 Å³/f.u. The size of the total moment comes out at 0.000 μB per formula unit.


(11)
A plane-wave DFT calculation with PBE-GGA was carried out for a geometry-optimized InPt4Se8 structure.

It has space group F-43m (No. 216), with a = 10.9017 Å, b = 10.9017 Å, c = 10.9017 Å, α = 90.00°, β = 90.00° and γ = 90.00°. The asymmetric unit holds In at (0.0000, 0.0000, 0.0000), Pt at (0.1200, 0.1200, 0.3800), Se at (0.1117, 0.1117, 0.6117) and Se at (0.1431, 0.1431, 0.1431).

The total energy is -58.96 eV per formula unit. The volume comes out at 324 Å³/f.u. The size of the total moment comes out at 0.000 μB per formula unit.


(12)
A plane-wave DFT calculation with PBE-GGA was carried out for a geometry-optimized InPt2Se structure.

It has space group R3m (No. 160, hexagonal axes), with a = 3.7591 Å, b = 3.7591 Å, c = 20.8719 Å, α = 90.00°, β = 90.00° and γ = 120.00°. The asymmetric unit holds In at (0.0000, 0.0000, 0.0000), Pt at (0.0000, 0.0000, 0.4878), Pt at (0.0000, 0.0000, 0.7442) and Se at (0.0000, 0.0000, 0.2117).

The total energy is -18.94 eV per formula unit. The volume comes out at 85 Å³/f.u. The size of the total moment comes out at 0.000 μB per formula unit.


(13)
A plane-wave DFT calculation with PBE-GGA was carried out for a geometry-optimized InPt2Se structure.

It has space group Amm2 (No. 38), with a = 3.9140 Å, b = 3.7040 Å, c = 10.4723 Å, α = 90.00°, β = 90.00° and γ = 90.00°. The asymmetric unit holds In at (0.0000, 0.0000, 0.0000), Pt at (0.0000, 0.0000, 0.2671), Pt at (0.5000, 0.0000, 0.4619) and Se at (0.5000, 0.0000, 0.7062).

The total energy is -18.99 eV per formula unit. The volume comes out at 76 Å³/f.u. The size of the total moment comes out at 0.000 μB per formula unit.


(14)
A plane-wave DFT calculation with PBE-GGA was carried out for a geometry-optimized InPtSe2 structure.

It has space group P4/mmm (No. 123), with a = 4.9500 Å, b = 4.9500 Å, c = 3.2482 Å, α = 90.00°, β = 90.00° and γ = 90.00°. The asymmetric unit holds In at (0.0000, 0.0000, 0.0000), Pt at (0.5000, 0.5000, 0.0000) and Se at (0.0000, 0.5000, 0.5000).

The total energy is -14.96 eV per formula unit. The volume comes out at 80 Å³/f.u. The size of the total moment comes out at 0.000 μB per formula unit.


(15)
A plane-wave DFT calculation with PBE-GGA was carried out for a geometry-optimized InPt2Se3 structure.

It has space group R-3m (No. 166, hexagonal axes), with a = 7.5152 Å, b = 7.5152 Å, c = 17.9756 Å, α = 90.00°, β = 90.00° and γ = 120.00°. The asymmetric unit holds In at (0.0000, 0.0000, 0.2261), Pt at (0.0000, 0.0000, 0.0000), Pt at (0.0000, 0.5000, 0.0000) and Se at (0.0045, 0.5022, 0.2625).

The total energy is -27.82 eV per formula unit. The volume comes out at 147 Å³/f.u. The size of the total moment comes out at 0.000 μB per formula unit.


(16)
A plane-wave DFT calculation with PBE-GGA was carried out for a geometry-optimized InPtSe2 structure.

It has space group R-3m (No. 166, hexagonal axes), with a = 3.7275 Å, b = 3.7275 Å, c = 26.6425 Å, α = 90.00°, β = 90.00° and γ = 120.00°. The asymmetric unit holds In at (0.0000, 0.0000, 0.0000), Pt at (0.0000, 0.0000, 0.5000) and Se at (0.0000, 0.0000, 0.1164).

The total energy is -16.69 eV per formula unit. The volume comes out at 107 Å³/f.u. The size of the total moment comes out at 0.000 μB per formula unit.


(17)
A plane-wave DFT calculation with PBE-GGA was carried out for a geometry-optimized InPtSe2 structure.

It has space group Immm (No. 71), with a = 3.7340 Å, b = 4.6167 Å, c = 11.3790 Å, α = 90.00°, β = 90.00° and γ = 90.00°. The asymmetric unit holds In at (0.0000, 0.0000, 0.0000), Pt at (0.0000, 0.0000, 0.5000) and Se at (0.0000, 0.5000, 0.1526).

The total energy is -16.70 eV per formula unit. The volume comes out at 98 Å³/f.u. The size of the total moment comes out at 0.000 μB per formula unit.


(18)
A plane-wave DFT calculation with PBE-GGA was carried out for a geometry-optimized In3Pt3Se8 structure.

It has space group R-3m (No. 166, hexagonal axes), with a = 7.8856 Å, b = 7.8856 Å, c = 19.7438 Å, α = 90.00°, β = 90.00° and γ = 120.00°. The asymmetric unit holds In at (0.0000, 0.0000, 0.0000), In at (0.0000, 0.0000, 0.3702), Pt at (0.0000, 0.5000, 0.5000), Se at (0.0000, 0.0000, 0.2298) and Se at (0.0323, 0.5161, 0.7624).

The total energy is -59.19 eV per formula unit. The volume comes out at 354 Å³/f.u. The size of the total moment comes out at 0.000 μB per formula unit.


(19)
A plane-wave DFT calculation with PBE-GGA was carried out for a geometry-optimized InPtSe2 structure.

It has space group I-4m2 (No. 119), with a = 4.6680 Å, b = 4.6680 Å, c = 7.2641 Å, α = 90.00°, β = 90.00° and γ = 90.00°. The asymmetric unit holds In at (0.0000, 0.0000, 0.0000), Pt at (0.0000, 0.5000, 0.7500), Se at (0.0000, 0.0000, 0.5000) and Se at (0.0000, 0.5000, 0.2500).

The total energy is -14.69 eV per formula unit. The volume comes out at 79 Å³/f.u. The size of the total moment comes out at 0.000 μB per formula unit.


(20)
A plane-wave DFT calculation with PBE-GGA was carried out for a geometry-optimized InPtSe2 structure.

It has space group C2/m (No. 12), with a = 9.4640 Å, b = 3.9049 Å, c = 5.6864 Å, α = 90.00°, β = 113.34° and γ = 90.00°. The asymmetric unit holds In at (0.0000, 0.0000, 0.0000), Pt at (0.0000, 0.0000, 0.5000) and Se at (0.1546, 0.5000, 0.7506).

The total energy is -17.00 eV per formula unit. The volume comes out at 96 Å³/f.u. The size of the total moment comes out at 0.000 μB per formula unit.


(21)
A plane-wave DFT calculation with PBE-GGA was carried out for a geometry-optimized InPtSe2 structure.

It has space group Cmmm (No. 65), with a = 3.7984 Å, b = 7.4674 Å, c = 7.6041 Å, α = 90.00°, β = 90.00° and γ = 90.00°. The asymmetric unit holds In at (0.0000, 0.0000, 0.0000), Pt at (0.0000, 0.0000, 0.5000) and Se at (0.0000, 0.5000, 0.2936).

The total energy is -15.91 eV per formula unit. The volume comes out at 108 Å³/f.u. The size of the total moment comes out at 0.000 μB per formula unit.


(22)
A plane-wave DFT calculation with PBE-GGA was carried out for a geometry-optimized InPt2Se structure.

It has space group I4/mmm (No. 139), with a = 4.4040 Å, b = 4.4040 Å, c = 7.3976 Å, α = 90.00°, β = 90.00° and γ = 90.00°. The asymmetric unit holds In at (0.0000, 0.0000, 0.0000), Pt at (0.0000, 0.5000, 0.2500) and Se at (0.0000, 0.0000, 0.5000).

The total energy is -18.30 eV per formula unit. The volume comes out at 72 Å³/f.u. The size of the total moment comes out at 0.000 μB per formula unit.


(23)
A plane-wave DFT calculation with PBE-GGA was carried out for a geometry-optimized InPt4Se structure.

It has space group F-43m (No. 216), with a = 7.5931 Å, b = 7.5931 Å, c = 7.5931 Å, α = 90.00°, β = 90.00° and γ = 90.00°. The asymmetric unit holds In at (0.0000, 0.0000, 0.0000), Pt at (0.1251, 0.1251, 0.6251) and Se at (0.2500, 0.2500, 0.2500).

The total energy is -29.44 eV per formula unit. The volume comes out at 109 Å³/f.u. The size of the total moment comes out at 0.000 μB per formula unit.


(24)
A plane-wave DFT calculation with PBE-GGA was carried out for a geometry-optimized InPt2Se structure.

It has space group Immm (No. 71), with a = 2.9562 Å, b = 5.3699 Å, c = 9.2370 Å, α = 90.00°, β = 90.00° and γ = 90.00°. The asymmetric unit holds In at (0.0000, 0.0000, 0.0000), Pt at (0.0000, 0.5000, 0.2461) and Se at (0.0000, 0.0000, 0.5000).

The total energy is -18.35 eV per formula unit. The volume comes out at 73 Å³/f.u. The size of the total moment comes out at 0.000 μB per formula unit.


(25)
A plane-wave DFT calculation with PBE-GGA was carried out for a geometry-optimized InPt2Se structure.

It has space group Fm-3m (No. 225), with a = 6.6018 Å, b = 6.6018 Å, c = 6.6018 Å, α = 90.00°, β = 90.00° and γ = 90.00°. The asymmetric unit holds In at (0.0000, 0.0000, 0.0000), Pt at (0.2500, 0.2500, 0.2500) and Se at (0.0000, 0.0000, 0.5000).

The total energy is -18.28 eV per formula unit. The volume comes out at 72 Å³/f.u. The size of the total moment comes out at 0.000 μB per formula unit.


(26)
A plane-wave DFT calculation with PBE-GGA was carried out for a geometry-optimized InPtSe2 structure.

It has space group P4/mmm (No. 123), with a = 3.9179 Å, b = 3.9179 Å, c = 5.5259 Å, α = 90.00°, β = 90.00° and γ = 90.00°. The asymmetric unit holds In at (0.0000, 0.0000, 0.0000), Pt at (0.5000, 0.5000, 0.5000), Se at (0.0000, 0.0000, 0.5000) and Se at (0.5000, 0.5000, 0.0000).

The total energy is -16.50 eV per formula unit. The volume comes out at 85 Å³/f.u. The size of the total moment comes out at 0.000 μB per formula unit.


Number 1: D(E_F) 4.9 states/eV per cell. Number 2: D(E_F) 1.0 states/eV per cell. Number 3: D(E_F) 3.2 states/eV per cell. Number 4: D(E_F) 12.9 states/eV per cell. Number 5: D(E_F) 11.4 states/eV per cell. Number 6: D(E_F) 11.6 states/eV per cell. Number 7: D(E_F) 14.2 states/eV per cell. Number 8: D(E_F) 2.0 states/eV per cell. Number 9: D(E_F) 17.7 states/eV per cell. Number 10: D(E_F) 2.0 states/eV per cell. Number 11: D(E_F) 39.1 states/eV per cell. Number 12: D(E_F) 6.8 states/eV per cell. Number 13: D(E_F) 5.2 states/eV per cell. Number 14: D(E_F) 2.0 states/eV per cell. Number 15: D(E_F) 0.6 states/eV per cell. Number 16: D(E_F) 6.7 states/eV per cell. Number 17: D(E_F) 3.6 states/eV per cell. Number 18: D(E_F) 20.7 states/eV per cell. Number 19: D(E_F) 5.0 states/eV per cell. Number 20: D(E_F) 1.9 states/eV per cell. Number 21: D(E_F) 6.0 states/eV per cell. Number 22: D(E_F) 9.7 states/eV per cell. Number 23: D(E_F) 28.5 states/eV per cell. Number 24: D(E_F) 3.9 states/eV per cell. Number 25: D(E_F) 16.9 states/eV per cell. Number 26: D(E_F) 1.6 states/eV per cell.